1.
Ho2UN | PBE-GGA | relaxed

Lattice parameters (Å, degrees): 3.2626 3.2626 9.6303 80.25 80.25 60.00
Closest atoms and distances in Å follow each position.
Fractional positions:
1 U 0.0000 0.0000 0.0000  6 U 3.26, 2 Ho 3.34
2 Ho 0.1178 0.1178 0.6465  3 N 2.34
3 Ho 0.8822 0.8822 0.3535  3 N 2.34
4 N 0.5000 0.5000 0.5000  6 Ho 2.34

Properties
Energy relative to the elements, uncorrected (meV/atom): -425
DOS at the Fermi energy (states/eV/cell): 6.9

2.
Ho2UN3 | PBE-GGA | relaxed

Lattice parameters (Å, degrees): 3.4378 9.1751 5.9526 108.94 90.00 100.81
Closest atoms and distances in Å follow each position.
Fractional positions:
1 Ho 0.1694 0.3387 0.3359  6 N 2.41-2.50
2 Ho 0.8306 0.6613 0.6641  6 N 2.41-2.50
3 Ho 0.3306 0.6613 0.1641  6 N 2.41-2.50
4 Ho 0.6694 0.3387 0.8359  6 N 2.41-2.50
5 U 0.5000 0.0000 0.0000  6 N 2.40-2.41
6 U 0.0000 0.0000 0.5000  6 N 2.40-2.41
7 N 0.9201 0.8400 0.0869  3 U 2.40-2.41, 3 Ho 2.50
8 N 0.0799 0.1600 0.9131  3 U 2.40-2.41, 3 Ho 2.50
9 N 0.7500 0.5000 0.2500  6 Ho 2.41
10 N 0.2500 0.5000 0.7500  6 Ho 2.41
11 N 0.4201 0.8400 0.5869  3 U 2.40-2.41, 3 Ho 2.50
12 N 0.5799 0.1600 0.4131  3 U 2.40-2.41, 3 Ho 2.50

Properties
Energy relative to the elements, uncorrected (meV/atom): -1587
DOS at the Fermi energy (states/eV/cell): 10.3

3.
HoUN3 | PBE-GGA | relaxed

Lattice parameters (Å, degrees): 3.5166 6.7293 6.7293 108.43 90.00 90.00
Closest atoms and distances in Å follow each position.
Fractional positions:
1 Ho 0.5000 0.0006 0.0006  8 N 2.45-2.72
2 Ho 0.5000 0.5002 0.5002  4 N 2.23
3 U 0.0000 0.5002 0.0002  6 N 2.17-2.22
4 U 0.0000 0.0002 0.5002  6 N 2.17-2.22
5 N 0.5000 0.5746 0.8471  2 U 2.17, 1 Ho 2.23
6 N 0.5000 0.8471 0.5746  2 U 2.17, 1 Ho 2.23
7 N 0.0000 0.8443 0.1561  2 U 2.22, 2 Ho 2.45
8 N 0.0000 0.1561 0.8443  2 U 2.22, 2 Ho 2.45
9 N 0.5000 0.4254 0.1532  2 U 2.18, 1 Ho 2.23
10 N 0.5000 0.1532 0.4254  2 U 2.18, 1 Ho 2.23

Properties
Energy relative to the elements, uncorrected (meV/atom): -1244
DOS at the Fermi energy (states/eV/cell): 4.0

4.
HoUN2 | PBE-GGA | relaxed

Lattice parameters (Å, degrees): 3.4323 3.4323 11.3760 90.00 90.00 120.00
Closest atoms and distances in Å follow each position.
Fractional positions:
1 Ho 0.6667 0.3333 0.2500  6 N 2.50
2 Ho 0.3333 0.6667 0.7500  6 N 2.50
3 U 0.0000 0.0000 0.5000  6 N 2.38
4 U 0.0000 0.0000 0.0000  6 N 2.38
5 N 0.3333 0.6667 0.3835  3 U 2.38, 3 Ho 2.50
6 N 0.6667 0.3333 0.8835  3 U 2.38, 3 Ho 2.50
7 N 0.6667 0.3333 0.6165  3 U 2.38, 3 Ho 2.50
8 N 0.3333 0.6667 0.1165  3 U 2.38, 3 Ho 2.50

Properties
Energy relative to the elements, uncorrected (meV/atom): -1480
DOS at the Fermi energy (states/eV/cell): 10.0

5.
Ho2UN4 | PBE-GGA | relaxed

Lattice parameters (Å, degrees): 3.5226 5.7833 9.7202 90.00 90.00 90.00
Closest atoms and distances in Å follow each position.
Fractional positions:
1 Ho 0.5000 0.9368 0.8227  6 N 2.32-2.47
2 Ho 0.5000 0.0632 0.1773  6 N 2.32-2.47
3 Ho 0.5000 0.4368 0.6773  6 N 2.32-2.47
4 Ho 0.5000 0.5632 0.3227  6 N 2.32-2.47
5 U 0.0000 0.0000 0.5000  6 N 2.09-2.25
6 U 0.0000 0.5000 0.0000  6 N 2.09-2.25
7 N 0.0000 0.6470 0.8040  1 U 2.09
8 N 0.0000 0.3530 0.1960  1 U 2.09
9 N 0.0000 0.1470 0.6960  1 U 2.09
10 N 0.0000 0.8530 0.3040  1 U 2.09
11 N 0.5000 0.7673 0.5426  2 U 2.25, 2 Ho 2.32-2.44
12 N 0.5000 0.2327 0.4574  2 U 2.25, 2 Ho 2.32-2.44
13 N 0.5000 0.7327 0.0426  2 U 2.25, 2 Ho 2.32-2.44
14 N 0.5000 0.2673 0.9574  2 U 2.25, 2 Ho 2.32-2.44

Properties
Energy relative to the elements, uncorrected (meV/atom): -1617

6.
HoU3N4 | PBE-GGA | relaxed

Lattice parameters (Å, degrees): 3.4293 5.9616 5.9616 70.50 90.00 90.00
Closest atoms and distances in Å follow each position.
Fractional positions:
1 U 0.5000 0.0001 0.5000  6 N 2.41-2.44
2 U 0.0000 0.0001 0.0000  6 N 2.43
3 U 0.0000 0.5001 0.5000  6 N 2.43
4 Ho 0.5000 0.5001 0.0000  6 N 2.42-2.45
5 N 0.0000 0.7540 0.7461  4 U 2.41-2.43, 2 Ho 2.45
6 N 0.5000 0.7490 0.2489  1 Ho 2.42, 5 U 2.43-2.44
7 N 0.0000 0.2463 0.2538  4 U 2.41-2.43, 2 Ho 2.45
8 N 0.4999 0.2512 0.7510  1 Ho 2.42, 5 U 2.43-2.44

Properties
Energy relative to the elements, uncorrected (meV/atom): -1404
DOS at the Fermi energy (states/eV/cell): 12.7

7.
Ho4UN5 | PBE-GGA | relaxed

Lattice parameters (Å, degrees): 4.8790 5.9544 5.9544 80.34 65.81 65.81
Closest atoms and distances in Å follow each position.
Fractional positions:
1 Ho 0.4018 0.4004 0.7980  6 N 2.41-2.55
2 Ho 0.8023 0.7980 0.5996  6 N 2.41-2.55
3 Ho 0.1998 0.2020 0.4004  6 N 2.41-2.55
4 Ho 0.6002 0.5996 0.2020  6 N 2.41-2.55
5 U 0.0010 0.0000 0.0000  6 N 2.30-2.44
6 N 0.9079 0.3781 0.8082  1 U 2.30, 5 Ho 2.41-2.55
7 N 0.2860 0.8082 0.6219  1 U 2.30, 5 Ho 2.41-2.55
8 N 0.7161 0.1918 0.3781  1 U 2.30, 5 Ho 2.41-2.55
9 N 0.0942 0.6219 0.1918  1 U 2.30, 5 Ho 2.41-2.55
10 N 0.5011 0.0000 0.0000  4 Ho 2.44, 2 U 2.44

Properties
Energy relative to the elements, uncorrected (meV/atom): -1681
DOS at the Fermi energy (states/eV/cell): 5.1

8.
Y3Ho2UN6 | PBE-GGA | relaxed

Lattice parameters (Å, degrees): 5.9793 5.9793 5.9826 99.58 99.58 119.99
Closest atoms and distances in Å follow each position.
Fractional positions:
1 Y 0.1680 0.8320 0.5000  6 N 2.44-2.55
2 Y 0.8320 0.1680 0.5000  6 N 2.44-2.55
3 Y 0.5000 0.5000 0.5000  6 N 2.44-2.57
4 Ho 0.3337 0.6663 0.0000  6 N 2.44-2.45
5 Ho 0.6663 0.3337 0.0000  6 N 2.44-2.45
6 U 0.0000 0.0000 0.0000  6 N 2.31-2.32
7 N 0.9203 0.6036 0.7612  1 U 2.32, 3 Y 2.44-2.55, 2 Ho 2.45
8 N 0.7629 0.7629 0.2355  1 U 2.31, 2 Ho 2.44, 3 Y 2.46-2.57
9 N 0.0797 0.3964 0.2388  1 U 2.32, 3 Y 2.44-2.55, 2 Ho 2.45
10 N 0.6036 0.9203 0.7612  1 U 2.32, 3 Y 2.44-2.55, 2 Ho 2.45
11 N 0.2371 0.2371 0.7645  1 U 2.31, 2 Ho 2.44, 3 Y 2.46-2.57
12 N 0.3964 0.0797 0.2388  1 U 2.32, 3 Y 2.44-2.55, 2 Ho 2.45

Properties
Energy relative to the elements, uncorrected (meV/atom): -1684
DOS at the Fermi energy (states/eV/cell): 4.9

9.
Y2HoUN4 | PBE-GGA | relaxed

Lattice parameters (Å, degrees): 3.4590 5.9724 5.9788 109.00 90.00 90.00
Closest atoms and distances in Å follow each position.
Fractional positions:
1 Y 0.5000 0.0000 0.5000  6 N 2.44-2.46
2 Y 0.0000 0.5000 0.5000  6 N 2.50-2.56
3 Ho 0.5000 0.5000 0.0000  6 N 2.42-2.44
4 U 0.0000 0.0000 0.0000  6 N 2.31-2.40
5 N 0.5000 0.2400 0.2379  2 U 2.40, 1 Ho 2.42, 3 Y 2.44-2.50
6 N 0.5000 0.7600 0.7621  2 U 2.40, 1 Ho 2.42, 3 Y 2.44-2.50
7 N 0.0000 0.2390 0.7649  1 U 2.31, 2 Ho 2.44, 3 Y 2.46-2.56
8 N 0.0000 0.7610 0.2351  1 U 2.31, 2 Ho 2.44, 3 Y 2.46-2.56

Properties
Energy relative to the elements, uncorrected (meV/atom): -1627
DOS at the Fermi energy (states/eV/cell): 4.4

10.
HoZr2UN4 | PBE-GGA | relaxed

Lattice parameters (Å, degrees): 4.7447 4.7447 5.7791 114.23 114.23 90.01
Closest atoms and distances in Å follow each position.
Fractional positions:
1 Ho 0.5000 0.5000 0.0000  6 N 2.37-2.39
2 Zr 0.2500 0.7500 0.5000  6 N 2.37-2.42
3 Zr 0.0000 0.0000 0.0000  6 N 2.32-2.37
4 U 0.7500 0.2500 0.5000  6 N 2.29-2.37
5 N 0.9928 0.4928 0.9857  1 U 2.29, 2 Ho 2.37, 3 Zr 2.37-2.42
6 N 0.5072 0.0072 0.0143  1 U 2.29, 3 Zr 2.37-2.42, 2 Ho 2.37
7 N 0.7536 0.7536 0.5072  3 Zr 2.32-2.37, 2 U 2.37, 1 Ho 2.39
8 N 0.2464 0.2464 0.4928  3 Zr 2.32-2.37, 2 U 2.37, 1 Ho 2.39

Properties
Energy relative to the elements, uncorrected (meV/atom): -1641
DOS at the Fermi energy (states/eV/cell): 5.4

> What is the formula in the ninth record?

Y2HoUN4

Copy entry 3 word for word.
HoUN3 | PBE-GGA | relaxed

Lattice parameters (Å, degrees): 3.5166 6.7293 6.7293 108.43 90.00 90.00
Closest atoms and distances in Å follow each position.
Fractional positions:
1 Ho 0.5000 0.0006 0.0006  8 N 2.45-2.72
2 Ho 0.5000 0.5002 0.5002  4 N 2.23
3 U 0.0000 0.5002 0.0002  6 N 2.17-2.22
4 U 0.0000 0.0002 0.5002  6 N 2.17-2.22
5 N 0.5000 0.5746 0.8471  2 U 2.17, 1 Ho 2.23
6 N 0.5000 0.8471 0.5746  2 U 2.17, 1 Ho 2.23
7 N 0.0000 0.8443 0.1561  2 U 2.22, 2 Ho 2.45
8 N 0.0000 0.1561 0.8443  2 U 2.22, 2 Ho 2.45
9 N 0.5000 0.4254 0.1532  2 U 2.18, 1 Ho 2.23
10 N 0.5000 0.1532 0.4254  2 U 2.18, 1 Ho 2.23

Properties
Energy relative to the elements, uncorrected (meV/atom): -1244
DOS at the Fermi energy (states/eV/cell): 4.0